First-principles (PBE-GGA) data for a relaxed Cr2TeS2 crystal, as listed in the Alexandria database.

## Properties
N(E_F) ... 3.3 states/eV/f.u.
E above lowest polymorph ... 0.0 meV/atom
Symmetry ... P4/mbm (127)
Total moment ... 5.56 μB/f.u.

```
Cr2TeS2
1.0
7.4362 0.0000 0.0000
0.0000 7.4362 0.0000
0.0000 0.0000 3.1122
S Cr Te
4 4 2
direct
0.8698 0.3698 0.5000
0.6302 0.8698 0.5000
0.1302 0.6302 0.5000
0.3698 0.1302 0.5000
0.6269 0.1269 0.0000
0.3731 0.8731 0.0000
0.1269 0.3731 0.0000
0.8731 0.6269 0.0000
0.5000 0.5000 0.0000
0.0000 0.0000 0.0000
```